The following is a DFT calculation (GGA-PBE) of a relaxed Mg2ZnRe crystal.

Properties
As for the crystal system: orthorhombic. The value obtained for the total magnetization is 0.00 μB/f.u. The formation enthalpy at 0 K is 1.0 eV per formula unit.

Cell: 3.289 4.474 9.220 Å, 90.00 90.00 90.00°
Space group Cmm2 (No. 35)
Symmetry-distinct sites (fractional):
Mg 0.000 0.000 0.000 x2
Mg 0.000 0.500 0.285 x2
Zn 0.000 0.000 0.532 x2
Re 0.000 0.500 0.759 x2

The following is a DFT calculation (GGA-PBE) of a relaxed MgZn2Re crystal.

Properties
As for the crystal system: tetragonal. The value obtained for the total magnetization is 0.00 μB/f.u. The formation enthalpy at 0 K is 0.7 eV per formula unit.

Cell: 4.137 4.137 3.499 Å, 90.00 90.00 90.00°
Space group P4/mmm (No. 123)
Symmetry-distinct sites (fractional):
Mg 0.000 0.000 0.000 x1
Zn 0.000 0.500 0.500 x2
Re 0.500 0.500 0.000 x1

The following is a DFT calculation (GGA-PBE) of a relaxed MgZnRe2 crystal.

Properties
The energy above the most stable polymorph in this dataset comes out at 0.594 eV/atom. As for the crystal system: tetragonal. The value obtained for the total magnetization is 0.00 μB/f.u. The formation enthalpy at 0 K is 2.6 eV per formula unit.

Cell: 4.750 4.750 2.679 Å, 90.00 90.00 90.00°
Space group P4/mmm (No. 123)
Symmetry-distinct sites (fractional):
Mg 0.000 0.000 0.000 x1
Zn 0.500 0.500 0.000 x1
Re 0.000 0.500 0.500 x2

The following is a DFT calculation (GGA-PBE) of a relaxed MgZnRe2 crystal.

Properties
The energy above the most stable polymorph in this dataset comes out at 0.203 eV/atom. As for the crystal system: orthorhombic. The value obtained for the total magnetization is 0.00 μB/f.u. The formation enthalpy at 0 K is 1.0 eV per formula unit.

Cell: 3.150 4.278 4.524 Å, 90.00 90.00 90.00°
Space group Pmmm (No. 47)
Symmetry-distinct sites (fractional):
Mg 0.000 0.000 0.000 x1
Zn 0.500 0.500 0.000 x1
Re 0.000 0.500 0.500 x1
Re 0.500 0.000 0.500 x1

The following is a DFT calculation (GGA-PBE) of a relaxed MgZnRe crystal.

Properties
The energy above the most stable polymorph in this dataset comes out at 0.000 eV/atom. As for the crystal system: tetragonal. The value obtained for the total magnetization is 0.00 μB/f.u. The formation enthalpy at 0 K is 0.2 eV per formula unit.

Cell: 3.033 3.033 10.969 Å, 90.00 90.00 90.00°
Space group P4/nmm (No. 129, origin choice 2)
Symmetry-distinct sites (fractional):
Mg 0.250 0.250 0.107 x2
Zn 0.250 0.250 0.724 x2
Re 0.250 0.250 0.434 x2

The following is a DFT calculation (GGA-PBE) of a relaxed Mg2ZnRe crystal.

Properties
As for the crystal system: monoclinic. The value obtained for the total magnetization is 0.00 μB/f.u. The formation enthalpy at 0 K is 0.9 eV per formula unit.

Cell: 9.536 2.789 5.069 Å, 90.00 99.38 90.00°
Space group Cm (No. 8)
Symmetry-distinct sites (fractional):
Mg 0.000 0.000 0.000 x2
Mg 0.236 0.000 0.719 x2
Zn 0.249 0.500 0.260 x2
Re 0.486 0.000 0.489 x2